VASP calculation (PBE) on a relaxed CrTePb2 crystal.

The structure belongs to space group Immm (No. 71); the cell edges are 3.671, 4.232 and 14.759 Å and the angles 90.00°, 90.00° and 90.00°. Symmetry generates all atoms from Cr at (0.000, 0.000, 0.000), Te at (0.000, 0.000, 0.500) and Pb at (0.000, 0.500, 0.318).

The value obtained for the uncorrected formation energy is 0.177 eV/atom. The calculated total energy comes out at -4.87 eV per atom. The magnetization comes out at 7.71 μB/cell.

VASP calculation (PBE) on a relaxed CrTePb2 crystal.

The structure belongs to space group I-42d (No. 122); the cell edges are 4.423, 4.423 and 23.567 Å and the angles 90.00°, 90.00° and 90.00°. Symmetry generates all atoms from Cr at (0.000, 0.000, 0.000), Te at (0.000, 0.000, 0.500) and Pb at (0.248, 0.250, 0.625).

The value obtained for the uncorrected formation energy is 0.313 eV/atom. The calculated total energy comes out at -4.73 eV per atom. The magnetization comes out at 17.81 μB/cell.

VASP calculation (PBE) on a relaxed CrTe2Pb crystal.

The structure belongs to space group C2/m (No. 12); the cell edges are 7.392, 4.260 and 7.667 Å and the angles 90.00°, 108.66° and 90.00°. Symmetry generates all atoms from Cr at (0.000, 0.000, 0.000), Te at (0.234, 0.500, 0.204) and Pb at (0.000, 0.500, 0.500).

The value obtained for the uncorrected formation energy is -0.162 eV/atom. The calculated total energy comes out at -5.07 eV per atom. The magnetization comes out at 8.02 μB/cell.

VASP calculation (PBE) on a relaxed CrTe2Pb crystal.

The structure belongs to space group R3m (No. 160, hexagonal axes); the cell edges are 4.1410, 4.1410 and 22.9309 Å and the angles 90.00°, 90.00° and 120.00°. Symmetry generates all atoms from Cr at (0.0000, 0.0000, 0.0000), Te at (0.0000, 0.0000, 0.3979), Te at (0.0000, 0.0000, 0.6010) and Pb at (0.0000, 0.0000, 0.8345).

The value obtained for the uncorrected formation energy is -0.155 eV/atom. The calculated total energy comes out at -5.06 eV per atom. The magnetization comes out at 11.42 μB/cell.

VASP calculation (PBE) on a relaxed CrTe2Pb crystal.

The structure belongs to space group R-3m (No. 166, hexagonal axes); the cell edges are 3.7890, 3.7890 and 27.1138 Å and the angles 90.00°, 90.00° and 120.00°. Symmetry generates all atoms from Cr at (0.0000, 0.0000, 0.0000), Te at (0.0000, 0.0000, 0.2745) and Pb at (0.0000, 0.0000, 0.5000).

The value obtained for the uncorrected formation energy is -0.123 eV/atom. The calculated total energy comes out at -5.03 eV per atom. The magnetization comes out at 8.45 μB/cell.

VASP calculation (PBE) on a relaxed CrTePb2 crystal.

The structure belongs to space group F-43m (No. 216); the cell edges are 7.603, 7.603 and 7.603 Å and the angles 90.00°, 90.00° and 90.00°. Symmetry generates all atoms from Cr at (0.000, 0.000, 0.000), Te at (0.250, 0.250, 0.750), Pb at (0.000, 0.000, 0.500) and Pb at (0.250, 0.250, 0.250).

The value obtained for the uncorrected formation energy is 0.374 eV/atom. The calculated total energy comes out at -4.67 eV per atom. The magnetization comes out at 17.08 μB/cell.

VASP calculation (PBE) on a relaxed CrTe2Pb crystal.

The structure belongs to space group P4mm (No. 99); the cell edges are 3.451, 3.451 and 9.344 Å and the angles 90.00°, 90.00° and 90.00°. Symmetry generates all atoms from Cr at (0.000, 0.000, 0.000), Te at (0.000, 0.000, 0.520), Te at (0.500, 0.500, 0.867) and Pb at (0.500, 0.500, 0.230).

The value obtained for the uncorrected formation energy is 0.155 eV/atom. The calculated total energy comes out at -4.75 eV per atom. The magnetization comes out at 3.39 μB/cell.

VASP calculation (PBE) on a relaxed CrTePb2 crystal.

The structure belongs to space group Pmmm (No. 47); the cell edges are 4.037, 5.020 and 5.417 Å and the angles 90.00°, 90.00° and 90.00°. Symmetry generates all atoms from Cr at (0.000, 0.000, 0.000), Te at (0.500, 0.500, 0.000), Pb at (0.000, 0.500, 0.500) and Pb at (0.500, 0.000, 0.500).

The value obtained for the uncorrected formation energy is 0.325 eV/atom. The calculated total energy comes out at -4.72 eV per atom. The magnetization comes out at 4.33 μB/cell.

VASP calculation (PBE) on a relaxed CrTe2Pb crystal.

The structure belongs to space group I-42d (No. 122); the cell edges are 6.738, 6.738 and 13.266 Å and the angles 90.00°, 90.00° and 90.00°. Symmetry generates all atoms from Cr at (0.000, 0.000, 0.000), Te at (0.193, 0.250, 0.125) and Pb at (0.000, 0.000, 0.500).

The value obtained for the uncorrected formation energy is -0.038 eV/atom. The calculated total energy comes out at -4.94 eV per atom. The magnetization comes out at 16.00 μB/cell.

VASP calculation (PBE) on a relaxed CrTePb crystal.

The structure belongs to space group F-43m (No. 216); the cell edges are 6.909, 6.909 and 6.909 Å and the angles 90.00°, 90.00° and 90.00°. Symmetry generates all atoms from Cr at (0.000, 0.000, 0.000), Te at (0.250, 0.250, 0.750) and Pb at (0.250, 0.250, 0.250).

The value obtained for the uncorrected formation energy is 0.233 eV/atom. The calculated total energy comes out at -5.26 eV per atom. The energy above the most stable polymorph in this dataset is 0.0816 eV per atom. The magnetization comes out at 16.50 μB/cell.

VASP calculation (PBE) on a relaxed CrTePb2 crystal.

The structure belongs to space group R-3m (No. 166, hexagonal axes); the cell edges are 3.4493, 3.4493 and 31.5728 Å and the angles 90.00°, 90.00° and 120.00°. Symmetry generates all atoms from Cr at (0.0000, 0.0000, 0.0000), Te at (0.0000, 0.0000, 0.5000) and Pb at (0.0000, 0.0000, 0.2599).

The value obtained for the uncorrected formation energy is 0.461 eV/atom. The calculated total energy comes out at -4.58 eV per atom. The magnetization comes out at 12.80 μB/cell.

VASP calculation (PBE) on a relaxed CrTePb2 crystal.

The structure belongs to space group P4/mmm (No. 123); the cell edges are 3.333, 3.333 and 9.830 Å and the angles 90.00°, 90.00° and 90.00°. Symmetry generates all atoms from Cr at (0.000, 0.000, 0.000), Te at (0.000, 0.000, 0.500) and Pb at (0.500, 0.500, 0.196).

The value obtained for the uncorrected formation energy is 0.363 eV/atom. The calculated total energy comes out at -4.68 eV per atom. The magnetization comes out at 3.68 μB/cell.

The highest magnetization belongs to which entry? number 2

Which of these has the lowest magnetization? number 7

Which of these has the lowest calculated total energy? CrTePb